The following is a GGA+U calculation of an optimized crystal structure of FeTcIO2, from the Alexandria database.

The structure in POSCAR format:
```
FeTcIO2
1.0
3.8988 0.0000 0.0000
0.0000 3.8988 0.0000
0.0000 0.0000 5.9648
Fe Tc I O
1 1 1 2
Direct
0.0000 0.0000 0.0000 Fe
0.5000 0.5000 0.5000 Tc
0.0000 0.0000 0.5000 I
0.0000 0.5000 0.0000 O
0.5000 0.0000 0.0000 O
```

E above lowest polymorph = 556.0 meV per atom
Size of the total moment = 8.9 μB per cell
Space group = No. 123